# RbS2I2, optimized geometry, DFT PBE-GGA
data_RbS2I2
_chemical_formula_sum 'Rb2 S4 I4'
_symmetry_space_group_name_H-M 'P 4/m b m'
_symmetry_Int_Tables_number 127
_symmetry_space_group_name_Hall '-P 4 2ab'
_cell_length_a 9.165
_cell_length_b 9.165
_cell_length_c 4.827
_cell_angle_alpha 90.00
_cell_angle_beta 90.00
_cell_angle_gamma 90.00
loop_
_atom_site_label
_atom_site_type_symbol
_atom_site_fract_x
_atom_site_fract_y
_atom_site_fract_z
Rb1 Rb 0.000 0.000 0.000
S1 S 0.073 0.427 0.000
I1 I 0.236 0.264 0.500
# Formation energy from raw total energies, meV/atom: -350
# Polymorph energy (0 for the lowest one), meV/atom: 0.0

=====

# Rb2SbSI6, optimized geometry, DFT PBE-GGA
data_Rb2SbSI6
_chemical_formula_sum 'Rb4 Sb2 S2 I12'
_symmetry_space_group_name_H-M 'I 4/m m m'
_symmetry_Int_Tables_number 139
_symmetry_space_group_name_Hall '-I 4 2'
_cell_length_a 8.513
_cell_length_b 8.513
_cell_length_c 11.704
_cell_angle_alpha 90.00
_cell_angle_beta 90.00
_cell_angle_gamma 90.00
loop_
_atom_site_label
_atom_site_type_symbol
_atom_site_fract_x
_atom_site_fract_y
_atom_site_fract_z
Rb1 Rb 0.000 0.500 0.250
Sb1 Sb 0.000 0.000 0.000
S1 S 0.000 0.000 0.500
I1 I 0.000 0.000 0.257
I2 I 0.249 0.249 0.000
# Formation energy from raw total energies, meV/atom: -587

=====

# RbSb2SI, optimized geometry, DFT PBE-GGA
data_RbSb2SI
_chemical_formula_sum 'Rb1 Sb2 S1 I1'
_symmetry_space_group_name_H-M 'P 4/m m m'
_symmetry_Int_Tables_number 123
_symmetry_space_group_name_Hall '-P 4 2'
_cell_length_a 7.921
_cell_length_b 7.921
_cell_length_c 6.738
_cell_angle_alpha 90.00
_cell_angle_beta 90.00
_cell_angle_gamma 90.00
loop_
_atom_site_label
_atom_site_type_symbol
_atom_site_fract_x
_atom_site_fract_y
_atom_site_fract_z
Rb1 Rb 0.000 0.000 0.000
Sb1 Sb 0.000 0.500 0.000
S1 S 0.500 0.500 0.500
I1 I 0.000 0.000 0.500
# Formation energy from raw total energies, meV/atom: 1279
# Polymorph energy (0 for the lowest one), meV/atom: 1355.9

=====

# RbSb2SI, optimized geometry, DFT PBE-GGA
data_RbSb2SI
_chemical_formula_sum 'Rb1 Sb2 S1 I1'
_symmetry_space_group_name_H-M 'P 4/m m m'
_symmetry_Int_Tables_number 123
_symmetry_space_group_name_Hall '-P 4 2'
_cell_length_a 5.176
_cell_length_b 5.176
_cell_length_c 8.794
_cell_angle_alpha 90.00
_cell_angle_beta 90.00
_cell_angle_gamma 90.00
loop_
_atom_site_label
_atom_site_type_symbol
_atom_site_fract_x
_atom_site_fract_y
_atom_site_fract_z
Rb1 Rb 0.000 0.000 0.000
Sb1 Sb 0.000 0.500 0.500
S1 S 0.500 0.500 0.500
I1 I 0.500 0.500 0.000
# Formation energy from raw total energies, meV/atom: -77
# Polymorph energy (0 for the lowest one), meV/atom: 0.0

=====

> Among the records above, which one has the highest formation energy from raw total energies?

number 3